Record 1
First-principles (GGA-PBEsol) data for a geometry-optimized ZnCr4CdSe8 structure, as listed in the Alexandria database.

Values from the calculation:
The space-group type is F-43m (216). Its theoretical density is 5.76 g/cm³. As for the total magnetization: 11.99 μB/cell. As for the raw formation energy: -508 meV per atom.

Lattice parameters (Å, degrees): 7.4587 7.4587 7.4587 60.00 60.00 60.00
Positions (direct):
Zn: 0.0000 0.0000 0.0000
Cr: 0.3745 0.3745 0.3745
Cr: 0.3745 0.3745 0.8764
Cr: 0.3745 0.8764 0.3745
Cr: 0.8764 0.3745 0.3745
Cd: 0.7500 0.7500 0.7500
Se: 0.1354 0.1354 0.1354
Se: 0.1354 0.1354 0.5937
Se: 0.1354 0.5937 0.1354
Se: 0.1710 0.6097 0.6097
Se: 0.5937 0.1354 0.1354
Se: 0.6097 0.1710 0.6097
Se: 0.6097 0.6097 0.1710
Se: 0.6097 0.6097 0.6097

=====

Record 2
First-principles (GGA-PBEsol) data for a geometry-optimized CrCdSi2 structure, as listed in the Alexandria database.

Values from the calculation:
The space-group type is I-42d (122). Its theoretical density is 5.35 g/cm³. As for the total magnetization: 4.50 μB/cell. As for the raw formation energy: 433 meV per atom.

Lattice parameters (Å, degrees): 8.7574 8.7574 8.7574 153.13 153.13 38.36
Positions (direct):
Cr: 0.0000 0.0000 0.0000
Cr: 0.7500 0.2500 0.5000
Cd: 0.2500 0.7500 0.5000
Cd: 0.5000 0.5000 0.0000
Si: 0.0450 0.6250 0.9200
Si: 0.3750 0.2950 0.4200
Si: 0.7050 0.1250 0.0800
Si: 0.8750 0.9550 0.5800

=====

Record 3
First-principles (GGA-PBEsol) data for a geometry-optimized CrCdSi2 structure, as listed in the Alexandria database.

Values from the calculation:
The space-group type is Cm (8). Its theoretical density is 5.84 g/cm³. As for the total magnetization: 0.72 μB/cell. As for the raw formation energy: 78 meV per atom.

Lattice parameters (Å, degrees): 4.2082 4.2082 6.0739 119.11 119.11 43.17
Positions (direct):
Cr: 0.0000 0.0000 0.0000
Cd: 0.2463 0.2463 0.5274
Si: 0.3718 0.3718 0.1799
Si: 0.6476 0.6476 0.8492

=====

Record 4
First-principles (GGA-PBEsol) data for a geometry-optimized CrCd4Si structure, as listed in the Alexandria database.

Values from the calculation:
The space-group type is F-43m (216). Its theoretical density is 7.22 g/cm³. As for the total magnetization: 4.11 μB/cell. As for the raw formation energy: 531 meV per atom.

Lattice parameters (Å, degrees): 5.5641 5.5641 5.5641 60.00 60.00 60.00
Positions (direct):
Cr: 0.0000 0.0000 0.0000
Cd: 0.3747 0.3747 0.3747
Cd: 0.3747 0.3747 0.8758
Cd: 0.3747 0.8758 0.3747
Cd: 0.8758 0.3747 0.3747
Si: 0.7500 0.7500 0.7500

=====

Record 5
First-principles (GGA-PBEsol) data for a geometry-optimized CrCd2Si structure, as listed in the Alexandria database.

Values from the calculation:
The space-group type is P4/mmm (123). Its theoretical density is 6.97 g/cm³. As for the total magnetization: 3.82 μB/cell. As for the raw formation energy: 508 meV per atom.

Lattice parameters (Å, degrees): 2.9463 2.9463 8.3661 90.00 90.00 90.00
Positions (direct):
Cr: 0.0000 0.0000 0.0000
Cd: 0.5000 0.5000 0.2385
Cd: 0.5000 0.5000 0.7615
Si: 0.0000 0.0000 0.5000

=====

Record 6
First-principles (GGA-PBEsol) data for a geometry-optimized Cr2CdSi structure, as listed in the Alexandria database.

Values from the calculation:
The space-group type is I-4m2 (119). Its theoretical density is 7.18 g/cm³. As for the total magnetization: 0.04 μB/cell. As for the raw formation energy: 366 meV per atom.

Lattice parameters (Å, degrees): 4.6805 4.6805 4.6805 131.38 131.38 71.21
Positions (direct):
Cr: 0.0000 0.0000 0.0000
Cr: 0.7500 0.2500 0.5000
Cd: 0.2500 0.7500 0.5000
Si: 0.5000 0.5000 0.0000

=====

Record 7
First-principles (GGA-PBEsol) data for a geometry-optimized CrCd2Si structure, as listed in the Alexandria database.

Values from the calculation:
The space-group type is Imm2 (44). Its theoretical density is 7.37 g/cm³. As for the total magnetization: 2.71 μB/cell. As for the raw formation energy: 381 meV per atom.

Lattice parameters (Å, degrees): 5.1288 5.1288 5.1288 137.39 130.09 67.66
Positions (direct):
Cr: 0.0000 0.0000 0.0000
Cd: 0.4553 0.4553 0.0000
Cd: 0.7309 0.2309 0.5000
Si: 0.1918 0.6918 0.5000

=====

Record 8
First-principles (GGA-PBEsol) data for a geometry-optimized CrCdSi2 structure, as listed in the Alexandria database.

Values from the calculation:
The space-group type is R-3m (166). Its theoretical density is 6.14 g/cm³. As for the total magnetization: 0.01 μB/cell. As for the raw formation energy: 121 meV per atom.

Lattice parameters (Å, degrees): 8.4487 8.4487 8.4487 19.65 19.65 19.65
Positions (direct):
Cr: 0.0000 0.0000 0.0000
Cd: 0.5000 0.5000 0.5000
Si: 0.2646 0.2646 0.2646
Si: 0.7354 0.7354 0.7354

=====

Record 9
First-principles (GGA-PBEsol) data for a geometry-optimized TaCrCd2Si structure, as listed in the Alexandria database.

Values from the calculation:
The space-group type is P4/mmm (123). Its theoretical density is 6.50 g/cm³. As for the total magnetization: 1.77 μB/cell. As for the raw formation energy: 1624 meV per atom.

Lattice parameters (Å, degrees): 5.3049 5.3049 4.4130 90.00 90.00 90.00
Positions (direct):
Ta: 0.0000 0.0000 0.0000
Cr: 0.0000 0.0000 0.5000
Cd: 0.0000 0.5000 0.0000
Cd: 0.5000 0.0000 0.0000
Si: 0.5000 0.5000 0.5000

=====

Record 10
First-principles (GGA-PBEsol) data for a geometry-optimized SrCr2Cd structure, as listed in the Alexandria database.

Values from the calculation:
As for the formation energy: 1237 meV/atom. The space-group type is Cmmm (65). Its theoretical density is 7.21 g/cm³. As for the total magnetization: 0.00 μB/cell.

Lattice parameters (Å, degrees): 2.7252 2.7252 9.4345 90.00 90.00 90.24
Positions (direct):
Sr: 0.0000 0.0000 0.0000
Cr: 0.5000 0.5000 0.2772
Cr: 0.5000 0.5000 0.7228
Cd: 0.0000 0.0000 0.5000

=====

Record 11
First-principles (GGA-PBEsol) data for a geometry-optimized SrCrCd2 structure, as listed in the Alexandria database.

Values from the calculation:
As for the formation energy: 215 meV/atom. The space-group type is P4/mmm (123). Its theoretical density is 6.44 g/cm³. As for the total magnetization: 3.97 μB/cell.

Lattice parameters (Å, degrees): 3.5557 3.5557 7.4373 90.00 90.00 90.00
Positions (direct):
Sr: 0.0000 0.0000 0.0000
Cr: 0.0000 0.0000 0.5000
Cd: 0.5000 0.5000 0.3046
Cd: 0.5000 0.5000 0.6954

=====

Record 12
First-principles (GGA-PBEsol) data for a geometry-optimized TaCrCd3 structure, as listed in the Alexandria database.

Values from the calculation:
As for the formation energy: 1644 meV/atom. The space-group type is Pm-3m (221). Its theoretical density is 6.50 g/cm³. As for the total magnetization: 2.88 μB/cell.

Lattice parameters (Å, degrees): 5.2608 5.2608 5.2608 90.00 90.00 90.00
Positions (direct):
Ta: 0.0000 0.0000 0.0000
Cr: 0.5000 0.5000 0.5000
Cd: 0.0000 0.0000 0.5000
Cd: 0.0000 0.5000 0.0000
Cd: 0.5000 0.0000 0.0000

=====

Q: Which of these has the lowest theoretical density?
A: number 2